LiHfSiN3 after structural relaxation, computed with PBE-GGA.

Summary:
Total moment = 0.00 μB/cell
Fermi-level density of states = 0.00 states/eV/f.u.
Energy relative to the elements, uncorrected = -101.6 kJ/mol of atoms
Space-group type = P2_1/m, No. 11

Cell lengths 5.9187, 3.1078, 8.6110 Å; angles 90.00, 91.05, 90.00 degrees
Positions (direct):
Li: 0.1113 0.2500 0.3411
Li: 0.8887 0.7500 0.6589
Hf: 0.3968 0.7500 0.6349
Hf: 0.6032 0.2500 0.3651
Si: 0.1190 0.2500 0.9178
Si: 0.8810 0.7500 0.0822
N: 0.1719 0.7500 0.0116
N: 0.1760 0.2500 0.7244
N: 0.3562 0.7500 0.4007
N: 0.6438 0.2500 0.5993
N: 0.8240 0.7500 0.2756
N: 0.8281 0.2500 0.9884

RuPt2 after structural relaxation, computed with PBE-GGA.

Summary:
Formation energy from the elements = 0.079 eV per atom
Total moment = 0.00 μB/cell
Fermi-level density of states = 4.90 states/eV/f.u.
Space-group type = Cmcm, No. 63

Cell lengths 7.3091, 7.3091, 4.5300 Å; angles 90.00, 90.00, 158.00 degrees
Positions (direct):
Ru: 0.1106 0.8894 0.7500
Ru: 0.8894 0.1106 0.2500
Pt: 0.2235 0.7765 0.2500
Pt: 0.4455 0.5545 0.7500
Pt: 0.5545 0.4455 0.2500
Pt: 0.7765 0.2235 0.7500

AgPb2F6 after structural relaxation, computed with PBE-GGA.

Summary:
Total moment = 2.03 μB/cell
Fermi-level density of states = 0.93 states/eV/f.u.
Energy relative to the elements, uncorrected = -187.6 kJ/mol of atoms
Space-group type = P2_1/c, No. 14

Cell lengths 6.4945, 6.2253, 11.2213 Å; angles 90.00, 123.87, 90.00 degrees
Positions (direct):
Ag: 0.0000 0.0000 0.0000
Ag: 0.0000 0.5000 0.5000
Pb: 0.3001 0.0116 0.7952
Pb: 0.3001 0.4884 0.2952
Pb: 0.6999 0.5116 0.7048
Pb: 0.6999 0.9884 0.2048
F: 0.0018 0.6670 0.3316
F: 0.0018 0.8330 0.8316
F: 0.3156 0.6852 0.6605
F: 0.3156 0.8148 0.1605
F: 0.3715 0.1736 0.0057
F: 0.3715 0.3264 0.5057
F: 0.6285 0.6736 0.4943
F: 0.6285 0.8264 0.9943
F: 0.6844 0.1852 0.8395
F: 0.6844 0.3148 0.3395
F: 0.9982 0.1670 0.1684
F: 0.9982 0.3330 0.6684